No. 1
BeHN2 at its PBEsol-relaxed geometry, computed with meta-GGA SCAN.

Cell lengths 2.739, 2.739, 12.579 Å; angles 90.00, 90.00, 120.00 degrees
Atoms (fractional coordinates):
1 Be 0.000 0.000 0.000
2 Be 0.333 0.667 0.667
3 Be 0.667 0.333 0.333
4 H 0.000 0.000 0.500
5 H 0.333 0.667 0.167
6 H 0.667 0.333 0.833
7 N 0.000 0.000 0.402
8 N 0.000 0.000 0.598
9 N 0.333 0.667 0.068
10 N 0.333 0.667 0.265
11 N 0.667 0.333 0.735
12 N 0.667 0.333 0.932

Output
Its energy above the most stable polymorph in this dataset is 0.00 kcal/mol of atoms.



No. 2
BeNiH2N at its PBEsol-relaxed geometry, computed with meta-GGA SCAN.

Cell lengths 2.694, 2.694, 5.309 Å; angles 90.00, 90.00, 90.00 degrees
Atoms (fractional coordinates):
1 Be 0.000 0.000 0.000
2 Ni 0.000 0.000 0.500
3 H 0.000 0.500 0.000
4 H 0.500 0.000 0.000
5 N 0.500 0.500 0.500



No. 3
BeHSeN2 at its PBEsol-relaxed geometry, computed with meta-GGA SCAN.

Cell lengths 3.095, 3.095, 7.234 Å; angles 90.00, 90.00, 90.00 degrees
Atoms (fractional coordinates):
1 Be 0.000 0.000 0.000
2 H 0.500 0.500 0.500
3 Se 0.000 0.000 0.500
4 N 0.000 0.500 0.000
5 N 0.500 0.000 0.000



Raw total energy
In order: -70.23 -34.53 -39.63
Unit: eV per cell
Total magnetic moment
In order: 0.000 0.762 0.077
Unit: μB per formula unit